Entry from Alexandria: a relaxed structure of Ta2CrHg (GGA-PBE).

density of states at the Fermi level = 4.01 states/eV/f.u.
space-group type = Cmm2
ΔH_f (0 K) = 0.338 eV/atom

Unit cell a=2.8562 b=2.8562 c=9.1223 alpha=90.00 beta=90.00 gamma=109.57
Closest atoms and distances in Å follow each position.
Sites, in units of the cell vectors:
1 Ta 0.5000 0.5000 0.2698  2 Cr 2.55
2 Ta 0.0000 0.0000 0.0124  6 Ta 2.86-2.87, 2 Hg 3.02
3 Hg 0.5000 0.5000 0.7346  2 Cr 2.82, 4 Hg 2.86, 2 Ta 3.02
4 Cr 0.0000 0.0000 0.4831  2 Ta 2.55, 2 Hg 2.82